Entry 1:
Compound: Ir2RuPb
Source: Alexandria via LeMat-Bulk
Functional: PBE
Structure: optimized geometry

It has space group I-42d (No. 122), with a = 5.958 Å, b = 5.958 Å, c = 11.209 Å, α = 90.00°, β = 90.00° and γ = 90.00°. Symmetry generates all atoms from Ir at (0.202, 0.250, 0.125), Ru at (0.000, 0.000, 0.000) and Pb at (0.000, 0.000, 0.500).

The calculation puts the energy of formation at 0.992 eV per atom. As for the density of states at the Fermi level: 1.03 states/eV/atom. The calculation puts the final energy at -6.68 eV per atom. Its total magnetic moment is 0.00 μB per formula unit.



Entry 2:
Compound: Ir2RuPb
Source: Alexandria via LeMat-Bulk
Functional: PBE
Structure: optimized geometry

It has space group P4mm (No. 99), with a = 2.936 Å, b = 2.936 Å, c = 7.806 Å, α = 90.00°, β = 90.00° and γ = 90.00°. Symmetry generates all atoms from Ir at (0.000, 0.000, 0.000), Ir at (0.500, 0.500, 0.231), Ru at (0.500, 0.500, 0.787) and Pb at (0.000, 0.000, 0.509).

The calculation puts the energy of formation at 0.473 eV per atom. As for the density of states at the Fermi level: 1.21 states/eV/atom. The calculation puts the final energy at -7.20 eV per atom. Its total magnetic moment is 0.00 μB per formula unit.



Entry 3:
Compound: Ir2RuPb
Source: Alexandria via LeMat-Bulk
Functional: PBE
Structure: optimized geometry

It has space group I4/mmm (No. 139), with a = 4.060 Å, b = 4.060 Å, c = 7.921 Å, α = 90.00°, β = 90.00° and γ = 90.00°. Symmetry generates all atoms from Ir at (0.000, 0.500, 0.250), Ru at (0.000, 0.000, 0.000) and Pb at (0.000, 0.000, 0.500).

The calculation puts the energy of formation at 0.433 eV per atom. As for the density of states at the Fermi level: 0.58 states/eV/atom. The calculation puts the final energy at -7.24 eV per atom. Its total magnetic moment is 0.00 μB per formula unit.



Entry 4:
Compound: Ir2RuPb
Source: Alexandria via LeMat-Bulk
Functional: PBE
Structure: optimized geometry

It has space group Imm2 (No. 44), with a = 2.857 Å, b = 4.860 Å, c = 9.788 Å, α = 90.00°, β = 90.00° and γ = 90.00°. Symmetry generates all atoms from Ir at (0.000, 0.000, 0.000), Ir at (0.000, 0.500, 0.264), Ru at (0.000, 0.000, 0.534) and Pb at (0.000, 0.500, 0.766).

The calculation puts the energy of formation at 0.610 eV per atom. As for the density of states at the Fermi level: 1.30 states/eV/atom. The calculation puts the final energy at -7.07 eV per atom. Its total magnetic moment is 0.00 μB per formula unit.



Entry 5:
Compound: Ir2RuPb
Source: Alexandria via LeMat-Bulk
Functional: PBE
Structure: optimized geometry

It has space group Immm (No. 71), with a = 2.872 Å, b = 4.681 Å, c = 10.087 Å, α = 90.00°, β = 90.00° and γ = 90.00°. Symmetry generates all atoms from Ir at (0.000, 0.000, 0.229), Ru at (0.000, 0.500, 0.500) and Pb at (0.000, 0.500, 0.000).

The calculation puts the energy of formation at 0.564 eV per atom. As for the density of states at the Fermi level: 1.24 states/eV/atom. The calculation puts the final energy at -7.11 eV per atom. Its total magnetic moment is 0.00 μB per formula unit.



Entry 6:
Compound: IrRu3Pb
Source: Alexandria via LeMat-Bulk
Functional: PBE
Structure: optimized geometry

It has space group Pm-3m (No. 221), with a = 4.740 Å, b = 4.740 Å, c = 4.740 Å, α = 90.00°, β = 90.00° and γ = 90.00°. Symmetry generates all atoms from Ir at (0.000, 0.000, 0.000), Ru at (0.000, 0.000, 0.500) and Pb at (0.500, 0.500, 0.500).

The calculation puts the energy of formation at 1.451 eV per atom. As for the density of states at the Fermi level: 1.10 states/eV/atom. The calculation puts the final energy at -6.63 eV per atom. Its total magnetic moment is 0.00 μB per formula unit.



Entry 7:
Compound: Ir2RuPb
Source: Alexandria via LeMat-Bulk
Functional: PBE
Structure: optimized geometry

It has space group Cm (No. 8), with a = 9.078 Å, b = 2.927 Å, c = 5.153 Å, α = 90.00°, β = 100.55° and γ = 90.00°. Symmetry generates all atoms from Ir at (0.000, 0.000, 0.000), Ir at (0.247, 0.500, 0.220), Ru at (0.489, 0.000, 0.424) and Pb at (0.244, 0.000, 0.714).

The calculation puts the energy of formation at 0.416 eV per atom. As for the density of states at the Fermi level: 0.80 states/eV/atom. The calculation puts the final energy at -7.26 eV per atom. Its total magnetic moment is 0.00 μB per formula unit.



Entry 8:
Compound: Si2IrRuPb
Source: Alexandria via LeMat-Bulk
Functional: PBE
Structure: optimized geometry

It has space group P4/mmm (No. 123), with a = 5.009 Å, b = 5.009 Å, c = 4.994 Å, α = 90.00°, β = 90.00° and γ = 90.00°. Symmetry generates all atoms from Si at (0.000, 0.500, 0.000), Ir at (0.000, 0.000, 0.500), Ru at (0.500, 0.500, 0.500) and Pb at (0.500, 0.500, 0.000).

As for the density of states at the Fermi level: 1.31 states/eV/atom. The calculation puts the final energy at -4.14 eV per atom. As for the uncorrected formation energy: 231.11 kJ per mole of atoms. Its total magnetic moment is 2.52 μB per formula unit.